Entry from Alexandria via LeMat-Bulk: ZrPt2Au after structural relaxation (PBEsol).

symmetry	F-43m (216)
energy of formation from the pure elements	-0.607	eV per atom
raw total energy	-7.342	eV per atom

a b c (Å): 4.5714 4.5714 4.5714
angles (deg): 60.00 60.00 60.00
Fractional positions:
Au  0.5000  0.5000  0.5000
Pt  0.0000  0.0000  0.0000
Pt  0.2500  0.2500  0.2500
Zr  0.7500  0.7500  0.7500

=====

Entry from Alexandria via LeMat-Bulk: ZrPt2Au after structural relaxation (PBEsol).

symmetry	I4/mmm (139)
energy of formation from the pure elements	-0.870	eV per atom
raw total energy	-7.605	eV per atom

a b c (Å): 4.0426 4.0426 4.9441
angles (deg): 114.13 114.13 90.00
Fractional positions:
Au  0.5000  0.5000  0.0000
Zr  0.0000  0.0000  0.0000
Pt  0.7500  0.2500  0.5000
Pt  0.2500  0.7500  0.5000

=====

| no. | DOS(E_F) (states/eV/atom) | calculated volume (Å³/cell) | ρ (g/cm3) |
| --- | --- | --- | --- |
| 1 | 0.685 | 67.6 | 16.68 |
| 2 | 0.328 | 65.9 | 17.09 |